Entry 1:
Material: B4Ru
Method: DFT, PBE-GGA
State: optimized geometry

Structure (POSCAR):
```
B4Ru
1.0
4.048 0.000 0.000
0.000 4.048 0.000
0.000 0.000 4.048
Ru B
1 4
Direct
0.500 0.500 0.500
0.500 0.500 0.000
0.000 0.500 0.500
0.000 0.000 0.000
0.500 0.000 0.500
```

Values from the calculation:
Space group ... Pm-3m, No. 221
Fermi-level density of states ... 0.324 states/eV/atom
Spin magnetization ... 0.00 μB/atom
Mass density ... 3.6 g cm⁻³

***

Entry 2:
Material: B3Ru2
Method: DFT, PBE-GGA
State: optimized geometry

Structure (POSCAR):
```
B3Ru2
1.0
2.925 0.000 0.000
-1.463 2.533 0.000
0.000 0.000 12.835
B Ru
6 4
Direct
0.333 0.667 0.969
0.333 0.667 0.531
0.667 0.333 0.250
0.667 0.333 0.469
0.667 0.333 0.031
0.333 0.667 0.750
0.667 0.333 0.640
0.667 0.333 0.860
0.333 0.667 0.360
0.333 0.667 0.140
```

Values from the calculation:
Space group ... P6_3/mmc, No. 194
Fermi-level density of states ... 0.083 states/eV/atom
Spin magnetization ... 0.00 μB/atom
Energy relative to the lowest polymorph listed for this composition ... 0 kJ/mol of formula units
Mass density ... 8.2 g cm⁻³

***

Entry 3:
Material: BRu4
Method: DFT, PBE-GGA
State: optimized geometry

Structure (POSCAR):
```
BRu4
1.0
4.036 0.000 0.000
0.000 4.036 0.000
0.000 0.000 4.036
Ru B
4 1
Direct
0.000 0.000 0.000
0.500 0.500 0.000
0.500 0.000 0.500
0.000 0.500 0.500
0.500 0.500 0.500
```

Values from the calculation:
Space group ... Pm-3m, No. 221
Fermi-level density of states ... 1.428 states/eV/atom
Spin magnetization ... 0.00 μB/atom
Mass density ... 10.5 g cm⁻³

***

Entry 4:
Material: B3Ru2
Method: DFT, PBE-GGA
State: optimized geometry

Structure (POSCAR):
```
B3Ru2
1.0
2.659 0.000 1.256
0.768 3.778 1.816
-0.376 -0.248 4.238
Ru B
2 3
Direct
0.773 0.727 0.727
0.227 0.273 0.273
0.000 0.000 0.000
0.500 0.288 0.712
0.500 0.712 0.288
```

Values from the calculation:
Space group ... Immm, No. 71
Fermi-level density of states ... 0.564 states/eV/atom
Spin magnetization ... 0.00 μB/atom
Energy relative to the lowest polymorph listed for this composition ... 182 kJ/mol of formula units
Mass density ... 8.6 g cm⁻³

***

Formation energy values (in meV/atom) by entry order: 1780.2; -336.9; 273.8; 40.1.